# LaTbSm2Y5 | Alexandria via LeMat-Bulk | PBE | optimized geometry
data_LaTbSm2Y5
_chemical_formula_sum 'La4 Tb4 Sm8 Y20'
_cell_length_a 8.8170
_cell_length_b 8.8170
_cell_length_c 15.4814
_cell_angle_alpha 90.00
_cell_angle_beta 90.00
_cell_angle_gamma 90.00
_space_group_name_H-M_alt 'I 4/m c m'
_space_group_IT_number 140
_space_group_name_Hall '-I 4 2c'
loop_
_atom_site_label
_atom_site_fract_x
_atom_site_fract_y
_atom_site_fract_z
La1 0.0000 0.0000 0.2500
Tb1 0.0000 0.5000 0.2500
Sm1 0.1160 0.3840 0.0000
Y1 0.0000 0.0000 0.0000
Y2 0.2071 0.2929 0.3653
# ΔH_f (0 K)	0.248	eV/atom


# La2TbSm3Y6 | Alexandria via LeMat-Bulk | PBE | optimized geometry
data_La2TbSm3Y6
_chemical_formula_sum 'La4 Tb2 Sm6 Y12'
_cell_length_a 6.2723
_cell_length_b 10.8624
_cell_length_c 11.9013
_cell_angle_alpha 90.00
_cell_angle_beta 100.09
_cell_angle_gamma 90.00
_space_group_name_H-M_alt 'C 1 2/m 1'
_space_group_IT_number 12
loop_
_space_group_symop_operation_xyz
'x,y,z'
'-x,-y,-z'
'-x,y,-z'
'x,-y,z'
'x+1/2,y+1/2,z'
'-x+1/2,-y+1/2,-z'
'-x+1/2,y+1/2,-z'
'x+1/2,-y+1/2,z'
loop_
_atom_site_label
_atom_site_fract_x
_atom_site_fract_y
_atom_site_fract_z
La1 0.0000 0.1662 0.0000
Tb1 0.0000 0.5000 0.0000
Sm1 0.0000 0.0000 0.5000
Sm2 0.0000 0.3332 0.5000
Y1 0.2482 0.5000 0.7478
Y2 0.2498 0.1662 0.7482
# ΔH_f (0 K)	0.014	eV/atom


# LaTb3Sm6Y2 | Alexandria via LeMat-Bulk | PBE | optimized geometry
data_LaTb3Sm6Y2
_chemical_formula_sum 'La2 Tb6 Sm12 Y4'
_cell_length_a 6.2606
_cell_length_b 10.8408
_cell_length_c 11.9817
_cell_angle_alpha 90.00
_cell_angle_beta 100.03
_cell_angle_gamma 90.00
_space_group_name_H-M_alt 'C 1 2/m 1'
_space_group_IT_number 12
loop_
_space_group_symop_operation_xyz
'x,y,z'
'-x,-y,-z'
'-x,y,-z'
'x,-y,z'
'x+1/2,y+1/2,z'
'-x+1/2,-y+1/2,-z'
'-x+1/2,y+1/2,-z'
'x+1/2,-y+1/2,z'
loop_
_atom_site_label
_atom_site_fract_x
_atom_site_fract_y
_atom_site_fract_z
La1 0.0000 0.0000 0.0000
Tb1 0.0000 0.1672 0.5000
Tb2 0.0000 0.5000 0.5000
Sm1 0.2487 0.3330 0.7473
Sm2 0.2496 0.0000 0.7473
Y1 0.0000 0.3334 0.0000
# ΔH_f (0 K)	0.017	eV/atom


# LaTb3SmY | Alexandria via LeMat-Bulk | PBE | optimized geometry
data_LaTb3SmY
_chemical_formula_sum 'La4 Tb12 Sm4 Y4'
_cell_length_a 19.8647
_cell_length_b 5.7177
_cell_length_c 7.0862
_cell_angle_alpha 90.00
_cell_angle_beta 90.59
_cell_angle_gamma 90.00
_space_group_name_H-M_alt 'C 1 2/m 1'
_space_group_IT_number 12
loop_
_space_group_symop_operation_xyz
'x,y,z'
'-x,-y,-z'
'-x,y,-z'
'x,-y,z'
'x+1/2,y+1/2,z'
'-x+1/2,-y+1/2,-z'
'-x+1/2,y+1/2,-z'
'x+1/2,-y+1/2,z'
loop_
_atom_site_label
_atom_site_fract_x
_atom_site_fract_y
_atom_site_fract_z
La1 0.1445 0.0000 0.0253
Tb1 0.0220 0.0000 0.7370
Tb2 0.1633 0.5000 0.7272
Tb3 0.2200 0.5000 0.2409
Sm1 0.0522 0.5000 0.2644
Y1 0.1498 0.0000 0.4571
# ΔH_f (0 K)	0.196	eV/atom


# La4Tb2Sm2Y | Alexandria via LeMat-Bulk | PBE | optimized geometry
data_La4Tb2Sm2Y
_chemical_formula_sum 'La8 Tb4 Sm4 Y2'
_cell_length_a 15.5383
_cell_length_b 5.1885
_cell_length_c 8.1602
_cell_angle_alpha 90.00
_cell_angle_beta 108.62
_cell_angle_gamma 90.00
_space_group_name_H-M_alt 'C 1 2/m 1'
_space_group_IT_number 12
loop_
_space_group_symop_operation_xyz
'x,y,z'
'-x,-y,-z'
'-x,y,-z'
'x,-y,z'
'x+1/2,y+1/2,z'
'-x+1/2,-y+1/2,-z'
'-x+1/2,y+1/2,-z'
'x+1/2,-y+1/2,z'
loop_
_atom_site_label
_atom_site_fract_x
_atom_site_fract_y
_atom_site_fract_z
La1 0.0542 0.0000 0.3331
La2 0.2234 0.5000 0.3331
Tb1 0.1116 0.5000 0.6700
Sm1 0.1672 0.0000 0.0001
Y1 0.0000 0.5000 0.0000
# ΔH_f (0 K)	0.024	eV/atom


# LaTb2Sm6Y3 | Alexandria via LeMat-Bulk | PBE | optimized geometry
data_LaTb2Sm6Y3
_chemical_formula_sum 'La2 Tb4 Sm12 Y6'
_cell_length_a 6.2649
_cell_length_b 10.8494
_cell_length_c 11.9678
_cell_angle_alpha 90.00
_cell_angle_beta 100.04
_cell_angle_gamma 90.00
_space_group_name_H-M_alt 'C 1 2/m 1'
_space_group_IT_number 12
loop_
_space_group_symop_operation_xyz
'x,y,z'
'-x,-y,-z'
'-x,y,-z'
'x,-y,z'
'x+1/2,y+1/2,z'
'-x+1/2,-y+1/2,-z'
'-x+1/2,y+1/2,-z'
'x+1/2,-y+1/2,z'
loop_
_atom_site_label
_atom_site_fract_x
_atom_site_fract_y
_atom_site_fract_z
La1 0.0000 0.0000 0.0000
Tb1 0.0000 0.3335 0.0000
Sm1 0.2483 0.3328 0.7483
Sm2 0.2499 0.0000 0.7479
Y1 0.0000 0.1672 0.5000
Y2 0.0000 0.5000 0.5000
# ΔH_f (0 K)	0.017	eV/atom


# LaTbSm5Y2 | Alexandria via LeMat-Bulk | PBE | optimized geometry
data_LaTbSm5Y2
_chemical_formula_sum 'La4 Tb4 Sm20 Y8'
_cell_length_a 5.7188
_cell_length_b 20.1461
_cell_length_c 10.6726
_cell_angle_alpha 90.00
_cell_angle_beta 90.00
_cell_angle_gamma 90.00
_space_group_name_H-M_alt 'C m c 21'
_space_group_IT_number 36
loop_
_space_group_symop_operation_xyz
'x,y,z'
'-x,-y,z+1/2'
'-x,y,z'
'x,-y,z+1/2'
'x+1/2,y+1/2,z'
'-x+1/2,-y+1/2,z+1/2'
'-x+1/2,y+1/2,z'
'x+1/2,-y+1/2,z+1/2'
loop_
_atom_site_label
_atom_site_fract_x
_atom_site_fract_y
_atom_site_fract_z
La1 0.0000 0.0830 0.0000
Tb1 0.0000 0.2983 0.5585
Sm1 0.0000 0.0202 0.2877
Sm2 0.0000 0.1121 0.5719
Sm3 0.0000 0.2035 0.2538
Sm4 0.0000 0.2182 0.8605
Sm5 0.0000 0.4817 0.5730
Y1 0.0000 0.3846 0.8696
Y2 0.0000 0.3876 0.2802
# ΔH_f (0 K)	0.149	eV/atom


# La2Tb2SmY2 | Alexandria via LeMat-Bulk | PBE | optimized geometry
data_La2Tb2SmY2
_chemical_formula_sum 'La4 Tb4 Sm2 Y4'
_cell_length_a 11.4745
_cell_length_b 5.1358
_cell_length_c 8.1222
_cell_angle_alpha 90.00
_cell_angle_beta 98.24
_cell_angle_gamma 90.00
_space_group_name_H-M_alt 'C 1 2/m 1'
_space_group_IT_number 12
loop_
_space_group_symop_operation_xyz
'x,y,z'
'-x,-y,-z'
'-x,y,-z'
'x,-y,z'
'x+1/2,y+1/2,z'
'-x+1/2,-y+1/2,-z'
'-x+1/2,y+1/2,-z'
'x+1/2,-y+1/2,z'
loop_
_atom_site_label
_atom_site_fract_x
_atom_site_fract_y
_atom_site_fract_z
La1 0.1415 0.0000 0.4269
Tb1 0.0706 0.5000 0.7175
Sm1 0.0000 0.0000 0.0000
Y1 0.2155 0.5000 0.1391
# ΔH_f (0 K)	0.027	eV/atom


Question: Number 8 is which compound?
Answer: La2Tb2SmY2